1.
Density functional theory data (PBE-GGA) for a relaxed CeMg2 crystal.

Calculated values
The calculation puts the energy of formation at 37 meV/atom. As for the symmetry: No. 38. As for the total magnetization: 0.90 μB per cell.

Lattice parameters (Å, degrees): 5.6637 8.5825 8.5825 21.24 90.00 90.00
Sites, in units of the cell vectors:
1 Ce 0.0000 0.0000 0.0000
2 Ce 0.0000 0.3585 0.3585
3 Mg 0.0000 0.6795 0.6795
4 Mg 0.5000 0.1236 0.1236
5 Mg 0.5000 0.4553 0.4553
6 Mg 0.5000 0.7897 0.7897



2.
Density functional theory data (PBE-GGA) for a relaxed Ce2Mg crystal.

Calculated values
The calculation puts the energy of formation at 18 meV/atom. As for the symmetry: No. 63. The energy above the lowest structure with this stoichiometry is 0 meV/atom. As for the total magnetization: 0.00 μB per cell.

Lattice parameters (Å, degrees): 9.3435 9.3435 5.2258 90.00 90.00 160.58
Sites, in units of the cell vectors:
1 Ce 0.1297 0.8703 0.7500
2 Ce 0.2030 0.7970 0.2500
3 Ce 0.7970 0.2030 0.7500
4 Ce 0.8703 0.1297 0.2500
5 Mg 0.4591 0.5409 0.7500
6 Mg 0.5409 0.4591 0.2500



3.
Density functional theory data (PBE-GGA) for a relaxed CeMg2 crystal.

Calculated values
The calculation puts the energy of formation at 78 meV/atom. As for the symmetry: No. 63. As for the total magnetization: 2.65 μB per cell.

Lattice parameters (Å, degrees): 5.7307 5.7307 5.1944 90.00 90.00 63.62
Sites, in units of the cell vectors:
1 Ce 0.1227 0.8773 0.7500
2 Ce 0.8773 0.1227 0.2500
3 Mg 0.2012 0.4735 0.2500
4 Mg 0.4735 0.2012 0.7500
5 Mg 0.5265 0.7988 0.2500
6 Mg 0.7988 0.5265 0.7500